PBE CrTcNiW2, relaxed; ΔH_f (0 K) = 40.6 kcal/mol of atoms; symmetry = P4/mmm (123)
1.0
4.424 0.000 0.000
0.000 4.360 0.000
0.000 0.000 4.424
Ni W Cr Tc
1 2 1 1
Direct
0.000 0.000 0.000
0.500 0.000 0.000
0.000 0.000 0.500
0.500 0.500 0.500
0.000 0.500 0.000


PBE BaTc2, relaxed; ΔH_f (0 K) = 26.9 kcal/mol of atoms; ΔE to the lowest computed polymorph = 760 meV per atom; symmetry = Pnnm (58)
1.0
-2.325 -2.402 -0.868
0.952 -2.873 5.401
-5.795 4.395 3.360
Tc Ba
4 2
Direct
0.750 0.500 0.907
0.750 0.000 0.407
0.250 0.000 0.593
0.250 0.500 0.093
0.500 0.500 0.500
0.000 0.000 0.000


PBE Pr3Ho3Tl2, relaxed; ΔH_f (0 K) = -2.8 kcal/mol of atoms; ΔE to the lowest computed polymorph = 0 meV per atom; symmetry = R32 (155)
1.0
-0.762 -6.143 0.934
3.025 0.406 5.466
-5.441 1.161 2.870
Ho Tl Pr
3 2 3
Direct
0.000 0.246 0.246
0.246 0.754 0.000
0.754 0.000 0.754
0.252 0.252 0.748
0.748 0.748 0.252
0.500 0.241 0.241
0.759 0.500 0.759
0.241 0.759 0.500


PBE NaHfRh2Au, relaxed; ΔH_f (0 K) = 29.8 kcal/mol of atoms; symmetry = P4/mmm (123)
1.0
-0.008 4.305 1.239
-1.783 -1.198 4.150
4.141 -0.466 1.644
Rh Hf Au Na
2 1 1 1
Direct
0.500 0.000 0.000
0.000 0.000 0.500
0.000 0.500 0.000
0.500 0.500 0.500
0.000 0.000 0.000


PBE NdSm2Cu2Ge2, relaxed; ΔH_f (0 K) = -11.3 kcal/mol of atoms; symmetry = R-3m (166)
1.0
-0.098 3.461 -2.591
0.842 -0.433 -4.219
-9.254 -0.560 -4.006
Sm Cu Nd Ge
2 2 1 2
Direct
0.874 0.874 0.377
0.126 0.126 0.623
0.600 0.600 0.201
0.400 0.400 0.799
0.000 0.000 0.000
0.735 0.735 0.795
0.265 0.265 0.205


PBE TiIr2S, relaxed; formation energy from raw total energies = -0.026 eV/atom; symmetry = I-42d (122)
1.0
5.237 0.000 0.000
0.000 5.237 0.000
2.618 2.618 5.822
Ir S Ti
4 2 2
Direct
0.875 0.831 0.750
0.169 0.625 0.250
0.375 0.419 0.750
0.581 0.125 0.250
0.500 0.500 0.000
0.250 0.750 0.500
0.000 0.000 0.000
0.750 0.250 0.500